First-principles (PBE-GGA) data for a geometry-optimized Be2InCu2 structure, as listed in Alexandria.

abc: 6.577 6.577 6.577
angles: 151.14 151.14 41.26
Positions (direct):
Be1 0.250 0.750 0.500
Be2 0.750 0.250 0.500
In1 0.000 0.000 0.000
Cu1 0.381 0.381 0.000
Cu2 0.619 0.619 0.000

Calculated values
SG: I4/mmm
ΔE to the lowest computed polymorph: 0.035 eV/atom
Total magnetic moment: 0.00 μB/cell
Uncorrected energy: -17.453 eV for the cell shown
DFT formation energy: 0.186 eV per atom